# 1
PBE-GGA LaTmGaPd, optimized geometry; E = -20.22 eV for the cell shown; distance to the lowest polymorph of the same formula = 3.7 kJ/mol of atoms; volume = 23.9 A^3/atom; space group = F-43m, No. 216
1.0
5.130 0.000 0.000
2.565 4.442 0.000
2.565 1.481 4.188
Tm Ga Pd La
1 1 1 1
Direct
0.000 0.000 0.000
0.250 0.250 0.250
0.750 0.750 0.750
0.500 0.500 0.500

---

# 2
PBE-GGA LaYGaPd, optimized geometry; E = -22.20 eV for the cell shown; distance to the lowest polymorph of the same formula = 5.3 kJ/mol of atoms; volume = 24.4 A^3/atom; space group = F-43m, No. 216
1.0
5.169 0.000 0.000
2.585 4.477 0.000
2.585 1.492 4.221
Y Ga Pd La
1 1 1 1
Direct
0.000 0.000 0.000
0.750 0.750 0.750
0.250 0.250 0.250
0.500 0.500 0.500

---

# 3
PBE-GGA LaYGaPd, optimized geometry; E = -22.42 eV for the cell shown; distance to the lowest polymorph of the same formula = 0.0 kJ/mol of atoms; volume = 25.3 A^3/atom; space group = Amm2, No. 38
1.0
-3.500 0.377 2.469
1.435 -3.423 2.556
4.284 3.173 1.845
La Y Ga Pd
1 1 1 1
Direct
0.146 0.000 0.293
0.862 0.500 0.725
0.567 0.500 0.134
0.424 0.000 0.848

---

# 4
PBE-GGA LaZn2GaPd, optimized geometry; E = -18.43 eV for the cell shown; volume = 19.9 A^3/atom; space group = Imm2, No. 44
1.0
-2.580 0.486 3.704
2.432 -3.155 2.108
3.101 4.776 -1.249
La Zn Ga Pd
1 2 1 1
Direct
0.440 0.440 0.880
0.690 0.190 0.379
0.070 0.070 0.139
0.815 0.815 0.630
0.198 0.698 0.396

---

# 5
PBE-GGA La3Zn2GaPd6, optimized geometry; E = -59.80 eV for the cell shown; volume = 20.9 A^3/atom; space group = P-3m1, No. 164
1.0
5.746 0.000 0.000
-2.873 4.976 0.000
0.000 0.000 8.774
La Zn Ga Pd
3 2 1 6
Direct
0.333 0.667 0.624
0.667 0.333 0.376
0.000 0.000 0.000
0.667 0.333 0.974
0.333 0.667 0.026
0.000 0.000 0.500
0.655 0.828 0.278
0.172 0.345 0.278
0.172 0.828 0.278
0.828 0.655 0.722
0.345 0.172 0.722
0.828 0.172 0.722

---

# 6
PBE-GGA La3Zn2GaPd9, optimized geometry; E = -74.44 eV for the cell shown; volume = 21.1 A^3/atom; space group = P-3m1, No. 164
1.0
-4.022 5.507 2.919
0.376 -6.553 3.456
5.311 2.088 3.380
La Zn Ga Pd
3 2 1 9
Direct
0.333 0.667 0.670
0.000 0.000 0.000
0.667 0.333 0.330
0.333 0.667 0.168
0.667 0.333 0.832
0.000 0.000 0.500
0.834 0.166 0.667
0.834 0.669 0.667
0.331 0.166 0.667
0.669 0.834 0.333
0.166 0.331 0.333
0.166 0.834 0.333
0.500 0.000 0.000
0.000 0.500 0.000
0.500 0.500 0.000

---

# 7
PBE-GGA La2ZnGa4Pd3, optimized geometry; E = -46.29 eV for the cell shown; volume = 20.0 A^3/atom; space group = P-4m2, No. 115
1.0
-2.212 -3.738 0.223
1.642 -0.736 3.960
-8.187 5.104 4.343
La Zn Ga Pd
2 1 4 3
Direct
0.500 0.000 0.247
0.000 0.500 0.753
0.500 0.500 0.500
0.500 0.500 0.000
0.000 0.000 0.000
0.500 0.000 0.631
0.000 0.500 0.369
0.000 0.000 0.500
0.500 0.000 0.870
0.000 0.500 0.130

---

# 8
PBE-GGA La2Zn3GaPd4, optimized geometry; E = -44.28 eV for the cell shown; volume = 19.8 A^3/atom; space group = P-4m2, No. 115
1.0
4.330 0.000 0.000
0.000 4.330 0.000
0.000 0.000 10.562
La Zn Ga Pd
2 3 1 4
Direct
0.500 0.000 0.245
0.000 0.500 0.755
0.000 0.000 0.500
0.500 0.000 0.870
0.000 0.500 0.130
0.500 0.500 0.500
0.500 0.500 0.000
0.000 0.000 0.000
0.500 0.000 0.632
0.000 0.500 0.368

---

# 9
PBE-GGA LaZnGaPd2, optimized geometry; E = -23.15 eV for the cell shown; volume = 20.1 A^3/atom; space group = I-4m2, No. 119
1.0
-2.139 1.397 3.393
-1.904 -3.780 0.356
6.135 -0.568 1.443
La Zn Ga Pd
1 1 1 2
Direct
0.000 0.000 0.000
0.750 0.250 0.500
0.250 0.750 0.500
0.621 0.621 0.242
0.379 0.379 0.758

---

# 10
PBE-GGA La2Zn4Ga3Pd, optimized geometry; E = -34.47 eV for the cell shown; volume = 19.9 A^3/atom; space group = P-4m2, No. 115
1.0
4.356 0.000 0.000
0.000 4.356 0.000
0.000 0.000 10.480
La Zn Ga Pd
2 4 3 1
Direct
0.500 0.000 0.253
0.000 0.500 0.747
0.500 0.500 0.000
0.000 0.000 0.000
0.500 0.000 0.630
0.000 0.500 0.370
0.000 0.000 0.500
0.500 0.000 0.866
0.000 0.500 0.134
0.500 0.500 0.500

---

# 11
PBE-GGA La2ZnGaPd6, optimized geometry; E = -51.59 eV for the cell shown; volume = 21.6 A^3/atom; space group = C2/m, No. 12
1.0
-2.420 -4.354 2.888
3.655 2.546 6.895
-2.060 2.369 7.585
La Zn Ga Pd
2 1 1 6
Direct
0.219 0.780 0.560
0.781 0.220 0.440
0.500 0.500 0.000
0.000 0.000 0.000
0.251 0.751 0.005
0.748 0.751 0.004
0.251 0.255 0.501
0.749 0.249 0.995
0.252 0.249 0.996
0.749 0.745 0.499

---

# 12
PBE-GGA LaZnGa2Pd2, optimized geometry; E = -24.13 eV for the cell shown; volume = 20.5 A^3/atom; space group = P4/mmm, No. 123
1.0
4.633 0.000 0.000
0.000 4.633 0.000
0.000 0.000 5.741
La Zn Ga Pd
1 1 2 2
Direct
0.000 0.000 0.500
0.000 0.000 0.000
0.500 0.000 0.000
0.000 0.500 0.000
0.500 0.500 0.745
0.500 0.500 0.255